No. 1
Compound: YInFe2
Source: the Alexandria database
Functional: SCAN
Structure: PBEsol geometry

Summary:
D(E_F)	4.4	states/eV/cell
space group	F-43m (216)
energy	-24.240	eV per atom
DFT formation energy	0.529	eV/f.u.
theoretical density	7470	kg/m³

a b c (Å): 4.629 4.629 4.629
angles (deg): 60.00 60.00 60.00
Last column: magnetic moment on the atom in μB.
Fractional positions:
Fe (0.250, 0.250, 0.250)  3.03
Fe (0.000, 0.000, 0.000)  2.74
Y (0.750, 0.750, 0.750)  -0.24
In (0.500, 0.500, 0.500)  -0.10

No. 2
Compound: Zn3InFe
Source: the Alexandria database
Functional: SCAN
Structure: PBEsol geometry

Summary:
D(E_F)	5.7	states/eV/cell
space group	Pm-3m (221)
energy	-17.267	eV per atom
DFT formation energy	5.727	eV/f.u.
theoretical density	5209	kg/m³

a b c (Å): 4.890 4.890 4.890
angles (deg): 90.00 90.00 90.00
Last column: magnetic moment on the atom in μB.
Fractional positions:
Fe (0.500, 0.500, 0.500)  3.50
Zn (0.000, 0.000, 0.500)  -0.02
Zn (0.000, 0.500, 0.000)  -0.02
Zn (0.500, 0.000, 0.000)  -0.02
In (0.000, 0.000, 0.000)  0.05

No. 3
Compound: ZnIn2Fe
Source: the Alexandria database
Functional: SCAN
Structure: PBEsol geometry

Summary:
D(E_F)	1.8	states/eV/cell
space group	Cmmm (65)
energy	-24.349	eV per atom
DFT formation energy	1.022	eV/f.u.
theoretical density	8417	kg/m³

a b c (Å): 2.956 4.966 4.966
angles (deg): 108.28 90.00 90.00
Last column: magnetic moment on the atom in μB.
Fractional positions:
In (0.000, 0.000, 0.500)  -0.02
In (0.000, 0.500, 0.000)  -0.02
Zn (0.500, 0.000, 0.000)  0.01
Fe (0.500, 0.500, 0.500)  2.94

No. 4
Compound: FeIr
Source: the Alexandria database
Functional: SCAN
Structure: PBEsol geometry

Summary:
D(E_F)	5.4	states/eV/cell
space group	Cm (8)
energy	-44.728	eV per atom
DFT formation energy	-0.228	eV/f.u.
theoretical density	16565	kg/m³

a b c (Å): 2.660 4.891 6.151
angles (deg): 103.83 90.00 105.78
Last column: magnetic moment on the atom in μB.
Fractional positions:
Fe (0.390, 0.780, 0.274)  2.80
Fe (0.331, 0.662, 0.668)  -2.74
Fe (0.000, 0.000, 0.003)  2.99
Ir (0.727, 0.455, 0.944)  0.07
Ir (0.672, 0.344, 0.336)  0.12
Ir (0.046, 0.093, 0.608)  -0.03

No. 5
Compound: FeIr
Source: the Alexandria database
Functional: SCAN
Structure: PBEsol geometry

Summary:
D(E_F)	2.2	states/eV/cell
space group	R-3m (166)
energy	-44.737	eV per atom
DFT formation energy	-0.245	eV/f.u.
theoretical density	16201	kg/m³

a b c (Å): 2.648 2.648 4.458
angles (deg): 72.72 72.72 60.00
Last column: magnetic moment on the atom in μB.
Fractional positions:
Ir (0.500, 0.500, 0.500)  0.23
Fe (0.000, 0.000, 0.000)  2.95

No. 6
Compound: FeIr
Source: the Alexandria database
Functional: SCAN
Structure: PBEsol geometry

Summary:
D(E_F)	3.5	states/eV/cell
space group	P4/nmm (129)
energy	-44.695	eV per atom
DFT formation energy	-0.161	eV/f.u.
theoretical density	16339	kg/m³

a b c (Å): 2.697 2.697 6.933
angles (deg): 90.00 90.00 90.00
Last column: magnetic moment on the atom in μB.
Fractional positions:
Ir (0.000, 0.500, 0.640)  0.00
Ir (0.500, 0.000, 0.360)  0.00
Fe (0.500, 0.000, 0.888)  2.87
Fe (0.000, 0.500, 0.112)  2.87

No. 7
Compound: Fe8Ir
Source: the Alexandria database
Functional: SCAN
Structure: PBEsol geometry

Summary:
D(E_F)	10.0	states/eV/cell
space group	I4/mmm (139)
energy	-23.873	eV per atom
DFT formation energy	1.281	eV/f.u.
theoretical density	11124	kg/m³

a b c (Å): 3.512 5.499 5.499
angles (deg): 84.15 71.38 71.38
Last column: magnetic moment on the atom in μB.
Fractional positions:
Fe (0.661, 0.339, 0.339)  -2.32
Fe (0.339, 0.661, 0.661)  -2.32
Fe (0.672, 0.656, 0.000)  2.12
Fe (0.328, 0.344, 0.000)  2.12
Fe (0.328, 0.000, 0.344)  2.12
Fe (0.672, 0.000, 0.656)  2.12
Fe (0.000, 0.339, 0.661)  -2.32
Fe (0.000, 0.661, 0.339)  -2.32
Ir (0.000, 0.000, 0.000)  0.21

No. 8
Compound: FeIr
Source: the Alexandria database
Functional: SCAN
Structure: PBEsol geometry

Summary:
D(E_F)	9.2	states/eV/cell
space group	Pnma (62)
energy	-44.663	eV per atom
DFT formation energy	-0.097	eV/f.u.
theoretical density	16930	kg/m³

a b c (Å): 4.127 4.552 5.181
angles (deg): 90.00 90.00 90.00
Last column: magnetic moment on the atom in μB.
Fractional positions:
Fe (0.250, 0.579, 0.378)  2.57
Fe (0.250, 0.079, 0.122)  2.57
Fe (0.750, 0.921, 0.878)  2.57
Fe (0.750, 0.421, 0.622)  2.57
Ir (0.250, 0.093, 0.628)  -0.15
Ir (0.250, 0.593, 0.872)  -0.15
Ir (0.750, 0.907, 0.372)  -0.15
Ir (0.750, 0.407, 0.128)  -0.15